Record 1
# TaCrAg2

TaCrAg2 after structural relaxation (PBE, Alexandria via LeMat-Bulk).

Summary:
As for the symmetry: Immm, No. 71. The calculation puts the energy of formation at 0.46 eV per atom. As for the energy above the lowest structure with this stoichiometry: 0.61 eV/f.u. Its crystal system is orthorhombic.

Unit cell a=5.492 b=5.492 c=5.492 alpha=146.04 beta=133.89 gamma=58.49
Fractional positions:
Ta  0.000  0.000  0.000
Cr  0.500  0.500  0.000
Ag  0.259  0.759  0.500
Ag  0.741  0.241  0.500

=====

Record 2
# Ni3AsC

Ni3AsC after structural relaxation (PBE, Alexandria via LeMat-Bulk).

Summary:
As for the symmetry: Pm-3m, No. 221. The calculation puts the energy of formation at 1.65 eV per atom. As for the energy above the lowest structure with this stoichiometry: 7.71 eV/f.u. Its crystal system is cubic.

Unit cell a=4.286 b=4.286 c=4.286 alpha=90.00 beta=90.00 gamma=90.00
Fractional positions:
Ni  0.000  0.000  0.500
Ni  0.000  0.500  0.000
Ni  0.500  0.000  0.000
As  0.000  0.000  0.000
C  0.500  0.500  0.500

=====

Record 3
# Pu5Ge3H

Pu5Ge3H after structural relaxation (PBE, Alexandria via LeMat-Bulk).

Summary:
As for the symmetry: I4/mcm, No. 140. As for the energy: -10.2909 eV per atom. Its crystal system is tetragonal.

Unit cell a=8.580 b=8.580 c=8.580 alpha=126.69 beta=126.69 gamma=78.76
Fractional positions:
Pu  0.000  0.000  0.000
Pu  0.021  0.521  0.847
Pu  0.174  0.021  0.500
Pu  0.326  0.826  0.847
Pu  0.479  0.326  0.500
Pu  0.500  0.500  0.000
Pu  0.521  0.674  0.500
Pu  0.674  0.174  0.153
Pu  0.826  0.979  0.500
Pu  0.979  0.479  0.153
Ge  0.119  0.381  0.500
Ge  0.250  0.250  0.000
Ge  0.381  0.881  0.262
Ge  0.619  0.119  0.738
Ge  0.750  0.750  0.000
Ge  0.881  0.619  0.500
H  0.250  0.750  0.500
H  0.750  0.250  0.500

=====

no.,spin magnetization (μB/atom),density (kg/m³)
1,0.433,11270
2,0.000,5547
3,3.204,12160